First-principles (PBE) data for PuHgAs after structural relaxation, as listed in the Open Quantum Materials Database.

Lattice parameters (Å, degrees): 6.986 6.986 6.986 90.00 90.00 90.00
Space group F-43m (No. 216)
One atom of each set of equivalent atoms:
Pu 0.000 0.000 0.000 [4 per cell]
Hg 0.250 0.250 0.250 [4 per cell]
As 0.250 0.250 0.750 [4 per cell]

Results
ΔE to the lowest computed polymorph (meV/atom): 0
Calculated total energy (eV for the cell shown): -80.4
Total magnetization (Bohr magnetons per cell): 20.0

---

First-principles (PBE) data for Co after structural relaxation, as listed in the Open Quantum Materials Database.

Lattice parameters (Å, degrees): 2.786 2.786 2.786 90.00 90.00 90.00
Space group Im-3m (No. 229)
One atom of each set of equivalent atoms:
Co 0.000 0.000 0.000 [2 per cell]

Results
ΔE to the lowest computed polymorph (meV/atom): 103
Calculated total energy (eV for the cell shown): -14.0
Total magnetization (Bohr magnetons per cell): 3.4
ΔH_f (0 K) (eV per atom): 0.10

---

First-principles (PBE) data for PmAuO2 after structural relaxation, as listed in the Open Quantum Materials Database.

Lattice parameters (Å, degrees): 3.7196 3.7196 12.0753 90.00 90.00 120.00
Space group P6_3/mmc (No. 194)
One atom of each set of equivalent atoms:
Pm 0.0000 0.0000 0.0000 [2 per cell]
Au 0.3333 0.6667 0.2500 [2 per cell]
O 0.3333 0.6667 0.0820 [4 per cell]

Results
Calculated total energy (eV for the cell shown): -53.1
Total magnetization (Bohr magnetons per cell): 0.0

---

First-principles (PBE) data for ZrTlCuTe2Se after structural relaxation, as listed in the Open Quantum Materials Database.

Lattice parameters (Å, degrees): 4.002 15.407 10.396 90.00 90.00 90.00
Space group Cmcm (No. 63)
One atom of each set of equivalent atoms:
Zr 0.000 0.000 0.000 [4 per cell]
Tl 0.000 0.262 0.250 [4 per cell]
Cu 0.000 0.468 0.750 [4 per cell]
Te 0.000 0.365 0.551 [8 per cell]
Se 0.000 0.061 0.750 [4 per cell]

Results
Calculated total energy (eV for the cell shown): -113.6
Total magnetization (Bohr magnetons per cell): 0.0

---

First-principles (PBE) data for Er6OsPb2 after structural relaxation, as listed in the Open Quantum Materials Database.

Lattice parameters (Å, degrees): 8.0859 8.0859 4.3416 90.00 90.00 120.00
Space group P-62m (No. 189)
One atom of each set of equivalent atoms:
Er 0.0000 0.2383 0.0000 [3 per cell]
Er 0.0000 0.6094 0.5000 [3 per cell]
Os 0.0000 0.0000 0.5000 [1 per cell]
Pb 0.3333 0.6667 0.0000 [2 per cell]

Results
Calculated total energy (eV for the cell shown): -49.8
Total magnetization (Bohr magnetons per cell): 0.0

---

First-principles (PBE) data for Sm7Pd3 after structural relaxation, as listed in the Open Quantum Materials Database.

Lattice parameters (Å, degrees): 10.0711 10.0711 6.3641 90.00 90.00 120.00
Space group P6_3mc (No. 186)
One atom of each set of equivalent atoms:
Sm 0.0762 0.5381 0.0000 [6 per cell]
Sm 0.1259 0.2518 0.2952 [6 per cell]
Sm 0.3333 0.6667 0.4944 [2 per cell]
Pd 0.1901 0.3802 0.7409 [6 per cell]

Results
Calculated total energy (eV for the cell shown): -107.4
Total magnetization (Bohr magnetons per cell): 0.0
ΔH_f (0 K) (eV per atom): -0.52

---

First-principles (PBE) data for GdEr2Al3Ge2Au after structural relaxation, as listed in the Open Quantum Materials Database.

Lattice parameters (Å, degrees): 4.258 12.218 7.017 90.00 90.00 90.00
Space group Amm2 (No. 38)
One atom of each set of equivalent atoms:
Gd 0.000 0.000 0.000 [2 per cell]
Er 0.000 0.208 0.379 [4 per cell]
Al 0.500 0.000 0.346 [2 per cell]
Al 0.500 0.118 0.704 [4 per cell]
Ge 0.500 0.169 0.087 [4 per cell]
Au 0.000 0.000 0.577 [2 per cell]

Results
Calculated total energy (eV for the cell shown): -87.9
Total magnetization (Bohr magnetons per cell): 0.0

---

First-principles (PBE) data for BaBPIr2 after structural relaxation, as listed in the Open Quantum Materials Database.

Lattice parameters (Å, degrees): 3.965 3.965 12.084 90.00 90.00 90.00
Space group I4mm (No. 107)
One atom of each set of equivalent atoms:
Ba 0.000 0.000 0.000 [2 per cell]
B 0.000 0.000 0.677 [2 per cell]
P 0.000 0.000 0.352 [2 per cell]
Ir 0.000 0.500 0.247 [4 per cell]

Results
Calculated total energy (eV for the cell shown): -70.2
Total magnetization (Bohr magnetons per cell): 0.0